Nd4CoPtI2 (PBE, optimized geometry); V = 30.69 Å³ per atom; formation energy without anion corrections = -850 meV/atom
1.0
7.279 0.000 0.000
0.000 4.171 0.000
-2.409 0.000 8.087
Nd Co Pt I
4 1 1 2
Cartesian
1.128 0.000 1.478 Nd
-0.107 2.085 6.599 Nd
4.977 2.085 1.488 Nd
3.742 0.000 6.609 Nd
0.000 2.085 0.000 Co
3.639 0.000 0.000 Pt
-1.204 0.000 4.043 I
2.435 2.085 4.043 I

***

Nd6CoRh2I3 (PBE, optimized geometry); V = 30.29 Å³ per atom; formation energy without anion corrections = -821 meV/atom
1.0
3.591 -6.220 0.000
3.591 6.220 0.000
-2.392 0.000 8.137
Nd Co Rh I
6 1 2 3
Cartesian
1.162 2.012 1.493 Nd
-0.068 0.000 6.640 Nd
1.162 -2.012 1.493 Nd
3.627 2.012 6.644 Nd
4.858 0.000 1.497 Nd
3.627 -2.012 6.644 Nd
0.000 0.000 0.000 Co
3.591 2.074 0.000 Rh
3.591 -2.074 0.000 Rh
2.395 4.147 4.069 I
2.395 0.000 4.069 I
2.395 -4.147 4.069 I

***

Nd8CoRh3I4 (PBE, optimized geometry); V = 30.40 Å³ per atom; formation energy without anion corrections = -851 meV/atom
1.0
4.151 2.397 8.147
-4.151 2.397 8.147
0.000 -4.794 8.147
Nd Co Rh I
8 1 3 4
Cartesian
0.000 0.000 5.592 Nd
-2.019 -1.166 13.717 Nd
0.000 -2.331 10.725 Nd
-2.019 1.166 10.725 Nd
2.019 -1.166 13.717 Nd
0.000 2.331 13.717 Nd
2.019 1.166 10.725 Nd
0.000 0.000 18.850 Nd
0.000 0.000 12.221 Co
-4.151 0.000 12.221 Rh
-2.076 1.198 4.074 Rh
2.076 1.198 4.074 Rh
0.000 0.000 0.000 I
-2.076 -1.198 8.147 I
-2.076 1.198 16.295 I
0.000 2.397 8.147 I

***

Nd6Co2RhI3 (PBE, optimized geometry); V = 29.68 Å³ per atom; formation energy without anion corrections = -697 meV/atom
1.0
3.556 -6.160 0.000
3.556 6.160 0.000
-2.369 0.000 8.129
Nd Co Rh I
6 2 1 3
Cartesian
-0.031 2.110 6.643 Nd
1.121 0.000 1.483 Nd
-0.031 -2.110 6.643 Nd
4.774 2.110 1.486 Nd
3.622 0.000 6.646 Nd
4.774 -2.110 1.486 Nd
3.556 4.106 0.000 Co
3.556 -4.106 0.000 Co
3.556 0.000 0.000 Rh
-1.185 0.000 4.064 I
2.371 2.048 4.064 I
2.371 -2.048 4.064 I

***

Nd6CoRu2I3 (PBE, optimized geometry); V = 30.03 Å³ per atom; formation energy without anion corrections = -603 meV/atom
1.0
3.564 -6.173 0.000
3.564 6.173 0.000
-2.377 0.000 8.190
Nd Co Ru I
6 1 2 3
Cartesian
1.173 2.031 1.518 Nd
-0.032 0.000 6.674 Nd
1.173 -2.031 1.518 Nd
3.578 2.031 6.672 Nd
4.783 0.000 1.516 Nd
3.578 -2.031 6.672 Nd
0.000 0.000 0.000 Co
3.564 2.058 0.000 Ru
3.564 -2.058 0.000 Ru
2.376 4.099 4.095 I
2.376 0.000 4.095 I
2.376 -4.099 4.095 I

***

Nd8CoRu3I4 (PBE, optimized geometry); V = 30.22 Å³ per atom; formation energy without anion corrections = -604 meV/atom
1.0
4.130 2.384 8.183
-4.130 2.384 8.183
0.000 -4.769 8.183
Nd Co Ru I
8 1 3 4
Cartesian
0.000 0.000 5.620 Nd
-2.052 -1.185 13.787 Nd
0.000 -2.370 10.763 Nd
-2.052 1.185 10.763 Nd
2.052 -1.185 13.787 Nd
0.000 2.370 13.787 Nd
2.052 1.185 10.763 Nd
0.000 0.000 18.931 Nd
0.000 0.000 12.275 Co
-4.130 0.000 12.275 Ru
-2.065 1.192 4.092 Ru
2.065 1.192 4.092 Ru
0.000 0.000 0.000 I
-2.065 -1.192 8.183 I
-2.065 1.192 16.367 I
0.000 2.384 8.183 I

***

Nd4CoSI2 (PBE, optimized geometry); V = 29.56 Å³ per atom; formation energy without anion corrections = -1027 meV/atom
1.0
7.454 0.000 0.000
0.000 4.038 0.000
-2.366 0.000 7.855
Nd Co S I
4 1 1 2
Cartesian
1.095 0.000 1.442 Nd
0.038 2.019 6.372 Nd
5.050 2.019 1.483 Nd
3.993 0.000 6.413 Nd
0.000 2.019 0.000 Co
3.727 0.000 0.000 S
-1.183 0.000 3.928 I
2.544 2.019 3.928 I

***

Nd4CoSeI2 (PBE, optimized geometry); V = 30.79 Å³ per atom; formation energy without anion corrections = -983 meV/atom
1.0
7.674 0.000 0.000
0.000 4.088 0.000
-2.336 0.000 7.852
Nd Co Se I
4 1 1 2
Cartesian
1.093 0.000 1.441 Nd
0.015 2.044 6.336 Nd
5.322 2.044 1.516 Nd
4.245 0.000 6.411 Nd
0.000 2.044 0.000 Co
3.837 0.000 0.000 Se
-1.168 0.000 3.926 I
2.669 2.044 3.926 I

***

Nd8CoSe3I4 (PBE, optimized geometry); V = 30.87 Å³ per atom; formation energy without anion corrections = -1181 meV/atom
1.0
4.298 2.481 7.720
-4.298 2.481 7.720
0.000 -4.962 7.720
Nd Co Se I
8 1 3 4
Cartesian
0.000 0.000 5.389 Nd
-1.963 -1.133 13.052 Nd
0.000 -2.267 10.108 Nd
-1.963 1.133 10.108 Nd
1.963 -1.133 13.052 Nd
0.000 2.267 13.052 Nd
1.963 1.133 10.108 Nd
0.000 0.000 17.771 Nd
0.000 0.000 11.580 Co
-4.298 0.000 11.580 Se
-2.149 1.241 3.860 Se
2.149 1.241 3.860 Se
0.000 0.000 0.000 I
-2.149 -1.241 7.720 I
-2.149 1.241 15.440 I
0.000 2.481 7.720 I

***

NdSmCoI (PBE, optimized geometry); V = 28.55 Å³ per atom; formation energy without anion corrections = -567 meV/atom
1.0
2.018 1.165 8.098
-2.018 1.165 8.098
0.000 -2.330 8.098
Nd Sm Co I
1 1 1 1
Cartesian
0.000 0.000 0.000 Nd
0.000 0.000 19.136 Sm
0.000 0.000 9.586 Co
0.000 0.000 5.468 I

***

NdThCoI (PBE, optimized geometry); V = 29.36 Å³ per atom; formation energy without anion corrections = -600 meV/atom
1.0
3.513 -2.047 0.000
3.513 2.047 0.000
-2.367 0.000 8.164
Nd Th Co I
1 1 1 1
Cartesian
0.000 0.000 0.000 Nd
0.001 0.000 5.295 Th
2.325 0.000 6.555 Co
4.676 0.000 2.612 I

***

Nd6TlCo2I3 (PBE, optimized geometry); V = 31.64 Å³ per atom; formation energy without anion corrections = -591 meV/atom
1.0
10.155 -2.058 0.000
10.155 2.058 0.000
-3.206 0.000 9.084
Nd Tl Co I
6 1 2 3
Cartesian
-0.115 0.000 2.413 Nd
4.985 0.000 3.998 Nd
4.036 0.000 7.696 Nd
13.068 0.000 1.388 Nd
12.118 0.000 5.086 Nd
17.218 0.000 6.671 Nd
10.155 0.000 0.000 Tl
2.399 0.000 3.193 Co
14.705 0.000 5.891 Co
0.604 0.000 7.626 I
8.552 0.000 4.542 I
16.499 0.000 1.458 I